Below is BeSb2Br after structural relaxation, with properties calculated at the PBE-GGA level.

crystal system: tetragonal
polymorph energy (0 for the lowest one): 413 meV per atom
formation energy without anion corrections: 0.34 eV/atom
total magnetic moment: 0.0 μB per formula unit

Unit cell a=6.3103 b=6.3103 c=12.0787 alpha=90.00 beta=90.00 gamma=90.00
With the nearest neighbours (Å) after each atom.
Space group I-42d (No. 122)
Asymmetric unit:
Be 0.0000 0.0000 0.0000 [4 per cell]  4 Sb 2.38
Sb 0.1495 0.2500 0.1250 [8 per cell]  2 Be 2.38
Br 0.0000 0.0000 0.5000 [4 per cell]  4 Sb 3.11

Below is Na2Zn12Ga5 after structural relaxation, with properties calculated at the PBE-GGA level.

energy relative to the elements: -0.010 eV per atom
crystal system: trigonal
total magnetic moment: 0.0 μB per formula unit

Unit cell a=9.3981 b=9.3981 c=12.9813 alpha=90.00 beta=90.00 gamma=120.00
With the nearest neighbours (Å) after each atom.
Space group R-3m (No. 166, hexagonal axes)
Asymmetric unit:
Na 0.0000 0.0000 0.1552 [6 per cell]  12 Zn 3.16-3.31, 1 Ga 3.18
Zn 0.0000 0.3289 0.5000 [18 per cell]  2 Ga 2.66, 4 Zn 2.67-2.69
Zn 0.0134 0.5067 0.6643 [18 per cell]  6 Zn 2.60-2.69, 2 Ga 2.77
Ga 0.0000 0.0000 0.4005 [6 per cell]  4 Ga 2.58-2.85
Ga 0.0000 0.5000 0.0000 [9 per cell]  8 Zn 2.66-2.77, 2 Ga 2.85

Below is MgNiMo after structural relaxation, with properties calculated at the PBE-GGA level.

energy relative to the elements: 0.080 eV per atom
crystal system: monoclinic
polymorph energy (0 for the lowest one): 71 meV per atom
total magnetic moment: 0.0 μB per formula unit

Unit cell a=4.2855 b=3.0482 c=7.2060 alpha=90.00 beta=107.22 gamma=90.00
With the nearest neighbours (Å) after each atom.
Space group P2/m (No. 10)
Asymmetric unit:
Mg 0.1791 0.0000 0.3577 [2 per cell]  6 Ni 2.66-2.79, 2 Mo 2.90, 2 Mg 2.90
Ni 0.3483 0.5000 0.6974 [2 per cell]  2 Mo 2.58, 6 Mg 2.66-2.79
Mo 0.0000 0.5000 0.0000 [1 per cell]  4 Mo 2.63, 4 Mg 2.90
Mo 0.5000 0.0000 0.0000 [1 per cell]  4 Ni 2.58, 4 Mo 2.63

Below is Ca2MgW after structural relaxation, with properties calculated at the PBE-GGA level.

energy relative to the elements: 0.759 eV per atom
crystal system: orthorhombic
total magnetic moment: 0.0 μB per formula unit

Unit cell a=6.4299 b=9.9390 c=3.0451 alpha=90.00 beta=90.00 gamma=90.00
With the nearest neighbours (Å) after each atom.
Space group Cmmm (No. 65)
Asymmetric unit:
Ca 0.2500 0.2500 0.0000 [4 per cell]  4 Ca 3.05-3.21, 4 W 3.33, 4 Mg 3.33
Mg 0.0000 0.0000 0.5000 [2 per cell]  2 Mg 3.05, 2 W 3.21, 8 Ca 3.33
W 0.0000 0.5000 0.5000 [2 per cell]  2 W 3.05, 2 Mg 3.21, 8 Ca 3.33